[1]
Entry from Alexandria via LeMat-Bulk: an optimized crystal structure of RbCrCl3 (GGA-PBE).

Lattice parameters (Å, degrees): 7.1825 7.1825 12.9490 85.84 85.84 59.52
Last column: nearest neighbours and their distance in Å.
Fractional positions:
1 Rb 0.6422 0.6915 0.1303  9 Cl 3.35-3.67
2 Rb 0.3578 0.3085 0.8697  9 Cl 3.35-3.67
3 Rb 0.3085 0.3578 0.3697  9 Cl 3.35-3.67
4 Cr 0.0000 0.0000 0.0000  4 Cl 2.38-2.42
5 Cr 0.9513 0.0487 0.2500  4 Cl 2.38-2.43
6 Cl 0.1436 0.1820 0.0824  1 Cr 2.38
7 Cl 0.1965 0.6381 0.6506  1 Cr 2.38
8 Cl 0.3619 0.8035 0.8494  1 Cr 2.38
9 Cr 0.0487 0.9513 0.7500  4 Cl 2.38-2.43
10 Cl 0.1820 0.1436 0.5824  1 Cr 2.38
11 Cl 0.8180 0.8564 0.4176  1 Cr 2.38
12 Cl 0.8831 0.2650 0.8564  2 Cr 2.42-2.43
13 Cl 0.7350 0.1169 0.6436  2 Cr 2.42-2.43
14 Cl 0.8564 0.8180 0.9176  1 Cr 2.38
15 Cr 0.0000 0.0000 0.5000  4 Cl 2.38-2.42
16 Cl 0.6381 0.1965 0.1506  1 Cr 2.38
17 Cl 0.2650 0.8831 0.3564  2 Cr 2.42-2.43
18 Rb 0.6915 0.6422 0.6303  9 Cl 3.35-3.67
19 Cl 0.8035 0.3619 0.3494  1 Cr 2.38
20 Cl 0.1169 0.7350 0.1436  2 Cr 2.42-2.43

- Crystal system: monoclinic
- Spin magnetization: 4.00 μB/f.u.
- E_tot: -4.600 eV/atom



[2]
Entry from Alexandria via LeMat-Bulk: an optimized crystal structure of NaSn2Pt2 (GGA-PBE).

Lattice parameters (Å, degrees): 4.6614 4.6614 6.4033 68.65 68.65 90.00
Last column: nearest neighbours and their distance in Å.
Fractional positions:
1 Na 0.0000 0.0000 0.0000  8 Pt 3.60, 10 Sn 3.61-4.03
2 Pt 0.2500 0.7500 0.5000  4 Sn 2.66
3 Sn 0.3667 0.3667 0.2666  4 Pt 2.66, 1 Sn 2.93
4 Pt 0.7500 0.2500 0.5000  4 Sn 2.66
5 Sn 0.6333 0.6333 0.7334  4 Pt 2.66, 1 Sn 2.93

- N(E_F): 0.429 states/eV/atom
- E_form: -383 meV per atom
- Crystal system: tetragonal
- Spin magnetization: 0.00 μB/f.u.
- E_tot: -4.664 eV/atom
- Polymorph energy (0 for the lowest one): 105.2 meV per atom



[3]
Entry from Alexandria via LeMat-Bulk: an optimized crystal structure of MgCdAs2 (GGA-PBE).

Lattice parameters (Å, degrees): 2.9682 2.9682 9.6238 90.00 90.00 89.89
Last column: nearest neighbours and their distance in Å.
Fractional positions:
1 Mg 0.5000 0.5000 0.7556  4 As 2.86, 4 Mg 2.97, 4 Cd 3.16
2 As 0.0000 0.0000 0.9570  4 Mg 2.86, 4 As 2.97
3 Cd 0.0000 0.0000 0.5102  4 Cd 2.97, 4 As 3.07, 4 Mg 3.16
4 As 0.5000 0.5000 0.2772  4 As 2.97, 4 Cd 3.07

- N(E_F): 0.314 states/eV/atom
- E_form: 107 meV per atom
- Crystal system: orthorhombic
- Spin magnetization: 0.00 μB/f.u.
- E_tot: -2.845 eV/atom
- Polymorph energy (0 for the lowest one): 228.7 meV per atom